A plane-wave DFT calculation with GGA-PBE was carried out for a relaxed structure of Sr2InSn4Ir3.

Cell and atoms, written as extended XYZ:
```
10
Lattice="4.5787 0.0000 0.0000 0.0000 4.5787 0.0000 0.0000 0.0000 11.4327" Properties=species:S:1:pos:R:3 pbc="T T T"
Sr 0.0000 2.2893 2.7648
Sr 2.2893 0.0000 8.6679
In 0.0000 0.0000 5.7164
Sn 0.0000 0.0000 0.0000
Sn 0.0000 2.2893 7.3905
Sn 2.2893 0.0000 4.0422
Sn 2.2893 2.2893 0.0000
Ir 0.0000 2.2893 10.0256
Ir 2.2893 0.0000 1.4072
Ir 2.2893 2.2893 5.7164
```

Results
The value obtained for the energy is -5.25 eV/atom. The magnetic moment is 0.000 μB per atom. Its space group is P-4m2. Its density of states at the Fermi level is 0.652 states/eV per atom. The energy of formation from the pure elements is -3.83 eV per formula unit.